A geometry-optimized TlSe3 structure. Source: Alexandria via LeMat-Bulk, functional PBE-GGA.

Structure (CIF):
```
data_TlSe3
_chemical_formula_sum 'Tl2 Se6'
_cell_length_a 4.562
_cell_length_b 5.655
_cell_length_c 9.471
_cell_angle_alpha 90.00
_cell_angle_beta 90.00
_cell_angle_gamma 90.00
_symmetry_space_group_name_H-M 'P 1'
_symmetry_Int_Tables_number 1
loop_
_symmetry_equiv_pos_as_xyz
'x,y,z'
loop_
_atom_site_label
_atom_site_type_symbol
_atom_site_fract_x
_atom_site_fract_y
_atom_site_fract_z
_atom_site_occupancy
Tl1 Tl 0.000 0.000 0.564 1
Tl2 Tl 0.500 0.500 0.436 1
Se1 Se 0.500 0.000 0.365 1
Se2 Se 0.000 0.500 0.635 1
Se3 Se 0.000 0.752 0.059 1
Se4 Se 0.000 0.248 0.059 1
Se5 Se 0.500 0.252 0.941 1
Se6 Se 0.500 0.748 0.941 1
```

Results
As for the symmetry: Pmmn, No. 59. The value obtained for the total magnetization is 0.00 μB/cell. Its energy is -3.209 eV per atom.